<a>
Computed, not measured: an optimized crystal structure of ZnCd2Sn2 at the PBE level of DFT.

Summary:
- Density of states at the Fermi level: 0.447 states/eV per atom

Geometry as POSCAR:
```
ZnCd2Sn2
1.0
4.313 0.000 0.000
0.000 4.313 0.000
2.156 2.156 7.320
Zn Sn Cd
1 2 2
Direct
0.000 0.000 0.000 Zn
0.750 0.250 0.500 Sn
0.250 0.750 0.500 Sn
0.406 0.406 0.188 Cd
0.594 0.594 0.812 Cd
```

<b>
Computed, not measured: an optimized crystal structure of ZnCd2Sn2 at the PBE level of DFT.

Summary:
- Density of states at the Fermi level: 0.472 states/eV per atom

Geometry as POSCAR:
```
ZnCd2Sn2
1.0
4.042 0.000 0.000
0.000 4.042 0.000
2.021 2.021 7.962
Zn Sn Cd
1 2 2
Direct
0.000 0.000 0.000 Zn
0.404 0.404 0.193 Sn
0.596 0.596 0.807 Sn
0.750 0.250 0.500 Cd
0.250 0.750 0.500 Cd
```

Stability order, top to bottom: <b>, <a>

<a>
Computed, not measured: an optimized crystal structure of ZnCd2Sn2 at the PBE level of DFT.

Summary:
- Density of states at the Fermi level: 0.577 states/eV per atom

Geometry as POSCAR:
```
ZnCd2Sn2
1.0
-1.535 7.174 -0.624
-4.017 -1.383 -6.013
-3.835 -0.586 2.697
Zn Sn Cd
2 4 4
Direct
0.000 0.000 0.000 Zn
0.500 0.500 0.000 Zn
0.351 0.851 0.000 Sn
0.851 0.649 0.000 Sn
0.649 0.149 0.000 Sn
0.149 0.351 0.000 Sn
0.162 0.662 0.500 Cd
0.662 0.838 0.500 Cd
0.838 0.338 0.500 Cd
0.338 0.162 0.500 Cd
```

<b>
Computed, not measured: an optimized crystal structure of ZnCd2Sn2 at the PBE level of DFT.

Summary:
- Density of states at the Fermi level: 0.434 states/eV per atom

Geometry as POSCAR:
```
ZnCd2Sn2
1.0
7.249 0.000 0.000
0.000 7.249 0.000
0.000 0.000 4.729
Zn Sn Cd
2 4 4
Direct
0.000 0.000 0.000 Zn
0.500 0.500 0.000 Zn
0.167 0.667 0.500 Sn
0.667 0.833 0.500 Sn
0.833 0.333 0.500 Sn
0.333 0.167 0.500 Sn
0.356 0.856 0.000 Cd
0.856 0.644 0.000 Cd
0.644 0.144 0.000 Cd
0.144 0.356 0.000 Cd
```

Stability order, top to bottom: <a>, <b>

<a>
Computed, not measured: an optimized crystal structure of ZrCd3Sn at the PBE level of DFT.

Summary:
- Density of states at the Fermi level: 0.445 states/eV per atom

Geometry as POSCAR:
```
ZrCd3Sn
1.0
5.316 0.000 0.000
0.000 5.316 0.000
0.000 0.000 5.316
Sn Zr Cd
1 1 3
Direct
0.000 0.000 0.000 Sn
0.500 0.500 0.500 Zr
0.000 0.500 0.000 Cd
0.000 0.000 0.500 Cd
0.500 0.000 0.000 Cd
```

<b>
Computed, not measured: an optimized crystal structure of ZrCd3Sn at the PBE level of DFT.

Summary:
- Density of states at the Fermi level: 1.044 states/eV per atom

Geometry as POSCAR:
```
ZrCd3Sn
1.0
-5.167 -0.608 1.921
1.906 -3.193 4.114
0.655 4.493 3.184
Sn Zr Cd
1 1 3
Direct
0.500 0.500 0.500 Sn
0.000 0.000 0.000 Zr
0.000 0.500 0.000 Cd
0.000 0.000 0.500 Cd
0.500 0.000 0.000 Cd
```

Stability order, top to bottom: <b>, <a>

<a>
Computed, not measured: an optimized crystal structure of Zr2CdSn2 at the PBE level of DFT.

Summary:
- Density of states at the Fermi level: 0.471 states/eV per atom

Geometry as POSCAR:
```
Zr2CdSn2
1.0
-7.256 -0.264 -2.880
-2.668 -2.389 6.942
-0.564 3.757 1.076
Sn Zr Cd
4 4 2
Direct
0.163 0.663 0.500 Sn
0.663 0.837 0.500 Sn
0.837 0.337 0.500 Sn
0.337 0.163 0.500 Sn
0.360 0.860 0.000 Zr
0.860 0.640 0.000 Zr
0.640 0.140 0.000 Zr
0.140 0.360 0.000 Zr
0.000 0.000 0.000 Cd
0.500 0.500 0.000 Cd
```

<b>
Computed, not measured: an optimized crystal structure of Zr2CdSn2 at the PBE level of DFT.

Summary:
- Density of states at the Fermi level: 0.395 states/eV per atom

Geometry as POSCAR:
```
Zr2CdSn2
1.0
7.687 0.000 0.000
0.000 7.687 0.000
0.000 0.000 3.945
Sn Zr Cd
4 4 2
Direct
0.358 0.858 0.000 Sn
0.858 0.642 0.000 Sn
0.642 0.142 0.000 Sn
0.142 0.358 0.000 Sn
0.157 0.657 0.500 Zr
0.657 0.843 0.500 Zr
0.843 0.343 0.500 Zr
0.343 0.157 0.500 Zr
0.000 0.000 0.000 Cd
0.500 0.500 0.000 Cd
```

Stability order, top to bottom: <b>, <a>

<a>
Computed, not measured: an optimized crystal structure of Zr3CdSn at the PBE level of DFT.

Summary:
- Density of states at the Fermi level: 1.057 states/eV per atom

Geometry as POSCAR:
```
Zr3CdSn
1.0
-1.639 3.157 5.836
-2.858 -6.462 4.839
7.670 1.399 3.544
Zr Cd Sn
12 4 4
Direct
0.516 0.696 0.060 Zr
0.984 0.940 0.304 Zr
0.484 0.304 0.940 Zr
0.016 0.060 0.696 Zr
0.934 0.314 0.054 Zr
0.566 0.946 0.686 Zr
0.066 0.686 0.946 Zr
0.434 0.054 0.314 Zr
0.483 0.603 0.676 Zr
0.017 0.324 0.397 Zr
0.517 0.397 0.324 Zr
0.983 0.676 0.603 Zr
0.250 0.998 0.002 Cd
0.750 0.002 0.998 Cd
0.250 0.333 0.667 Cd
0.750 0.667 0.333 Cd
0.826 0.448 0.792 Sn
0.674 0.208 0.552 Sn
0.174 0.552 0.208 Sn
0.326 0.792 0.448 Sn
```

<b>
Computed, not measured: an optimized crystal structure of Zr3CdSn at the PBE level of DFT.

Summary:
- Density of states at the Fermi level: 0.892 states/eV per atom

Geometry as POSCAR:
```
Zr3CdSn
1.0
5.302 0.000 0.000
0.000 5.302 0.000
0.000 0.000 5.302
Sn Zr Cd
1 3 1
Direct
0.000 0.000 0.000 Sn
0.000 0.500 0.000 Zr
0.000 0.000 0.500 Zr
0.500 0.000 0.000 Zr
0.500 0.500 0.500 Cd
```

Stability order, top to bottom: <a>, <b>

<a>
Computed, not measured: an optimized crystal structure of SrCd7 at the PBE level of DFT.

Summary:
- Density of states at the Fermi level: 0.547 states/eV per atom

Geometry as POSCAR:
```
SrCd7
1.0
0.539 3.964 1.882
-2.545 -0.552 6.847
5.450 -0.688 4.846
Sr Cd
1 7
Direct
0.000 0.000 0.000 Sr
0.747 0.758 0.758 Cd
0.253 0.242 0.242 Cd
0.000 0.500 0.500 Cd
0.633 0.556 0.176 Cd
0.367 0.444 0.824 Cd
0.367 0.824 0.444 Cd
0.633 0.176 0.556 Cd
```

<b>
Computed, not measured: an optimized crystal structure of SrCd7 at the PBE level of DFT.

Summary:
- Density of states at the Fermi level: 0.506 states/eV per atom

Geometry as POSCAR:
```
SrCd7
1.0
0.000 4.716 4.716
4.716 0.000 4.716
4.716 4.716 0.000
Sr Cd
1 7
Direct
0.000 0.000 0.000 Sr
0.500 0.500 0.000 Cd
0.500 0.000 0.500 Cd
0.500 0.000 0.000 Cd
0.000 0.000 0.500 Cd
0.000 0.500 0.000 Cd
0.000 0.500 0.500 Cd
0.500 0.500 0.500 Cd
```

Stability order, top to bottom: <a>, <b>

<a>
Computed, not measured: an optimized crystal structure of Sr5Cd at the PBE level of DFT.

Summary:
- Density of states at the Fermi level: 1.084 states/eV per atom

Geometry as POSCAR:
```
Sr5Cd
1.0
4.149 0.000 0.000
0.000 4.149 0.000
0.000 0.000 16.603
Sr Cd
5 1
Direct
0.000 0.000 0.882 Sr
0.000 0.000 0.118 Sr
0.500 0.500 0.691 Sr
0.500 0.500 0.309 Sr
0.000 0.000 0.500 Sr
0.500 0.500 0.000 Cd
```

<b>
Computed, not measured: an optimized crystal structure of Sr5Cd at the PBE level of DFT.

Summary:
- Density of states at the Fermi level: 1.255 states/eV per atom

Geometry as POSCAR:
```
Sr5Cd
1.0
6.363 0.000 0.000
0.000 4.695 0.000
0.000 -2.348 9.361
Sr Cd
5 1
Direct
0.500 0.833 0.665 Sr
0.000 0.646 0.293 Sr
0.500 0.500 0.000 Sr
0.000 0.354 0.707 Sr
0.500 0.167 0.335 Sr
0.000 0.000 0.000 Cd
```

<c>
Computed, not measured: an optimized crystal structure of Sr5Cd at the PBE level of DFT.

Summary:
- Density of states at the Fermi level: 0.602 states/eV per atom

Geometry as POSCAR:
```
Sr5Cd
1.0
3.524 -6.104 0.000
3.524 6.104 0.000
0.000 0.000 6.536
Sr Cd
5 1
Direct
0.684 0.000 0.000 Sr
0.316 0.316 0.000 Sr
0.000 0.684 0.000 Sr
0.667 0.333 0.500 Sr
0.333 0.667 0.500 Sr
0.000 0.000 0.500 Cd
```

Stability order, top to bottom: <a>, <b>, <c>

<a>
Computed, not measured: an optimized crystal structure of SrCd4 at the PBE level of DFT.

Summary:
- Density of states at the Fermi level: 0.565 states/eV per atom

Geometry as POSCAR:
```
SrCd4
1.0
4.609 0.000 0.000
0.000 4.609 0.000
-2.304 -2.304 6.483
Sr Cd
1 4
Direct
0.000 0.000 0.000 Sr
0.750 0.250 0.500 Cd
0.250 0.750 0.500 Cd
0.609 0.609 0.217 Cd
0.391 0.391 0.783 Cd
```

<b>
Computed, not measured: an optimized crystal structure of SrCd4 at the PBE level of DFT.

Summary:
- Density of states at the Fermi level: 0.794 states/eV per atom

Geometry as POSCAR:
```
SrCd4
1.0
-2.922 5.890 -0.197
-5.041 -2.612 -3.321
-3.052 -1.324 5.674
Sr Cd
1 4
Direct
0.500 0.500 0.500 Sr
0.000 0.000 0.000 Cd
0.500 0.000 0.500 Cd
0.000 0.500 0.500 Cd
0.500 0.500 0.000 Cd
```

<c>
Computed, not measured: an optimized crystal structure of SrCd4 at the PBE level of DFT.

Summary:
- Density of states at the Fermi level: 0.643 states/eV per atom

Geometry as POSCAR:
```
SrCd4
1.0
-0.376 -6.411 0.899
-3.159 3.041 4.777
-2.688 1.545 -5.695
Sr Cd
1 4
Direct
0.000 0.000 0.000 Sr
0.500 0.000 0.000 Cd
0.500 0.500 0.500 Cd
0.000 0.500 0.000 Cd
0.000 0.000 0.500 Cd
```

Stability order, top to bottom: <a>, <c>, <b>

<a>
Computed, not measured: an optimized crystal structure of SrCd12 at the PBE level of DFT.

Summary:
- Density of states at the Fermi level: 0.343 states/eV per atom

Geometry as POSCAR:
```
SrCd12
1.0
-4.329 -4.159 0.095
1.003 -5.248 5.655
-5.999 2.014 4.526
Sr Cd
1 12
Direct
0.000 0.000 0.000 Sr
0.500 0.000 0.500 Cd
0.000 0.000 0.500 Cd
0.500 0.500 0.000 Cd
0.000 0.500 0.000 Cd
0.000 0.646 0.354 Cd
0.000 0.354 0.646 Cd
0.646 0.354 0.354 Cd
0.354 0.646 0.646 Cd
0.500 0.215 0.785 Cd
0.500 0.785 0.215 Cd
0.715 0.785 0.785 Cd
0.285 0.215 0.215 Cd
```

<b>
Computed, not measured: an optimized crystal structure of SrCd12 at the PBE level of DFT.

Summary:
- Density of states at the Fermi level: 0.658 states/eV per atom

Geometry as POSCAR:
```
SrCd12
1.0
-1.868 -6.918 4.658
-2.392 -7.237 -3.867
5.249 -6.744 -0.071
Sr Cd
1 12
Direct
0.000 0.000 0.000 Sr
0.840 0.500 0.500 Cd
0.160 0.500 0.500 Cd
0.160 0.840 0.500 Cd
0.500 0.500 0.160 Cd
0.500 0.160 0.840 Cd
0.500 0.840 0.160 Cd
0.160 0.500 0.840 Cd
0.500 0.160 0.500 Cd
0.500 0.500 0.840 Cd
0.840 0.500 0.160 Cd
0.500 0.840 0.500 Cd
0.840 0.160 0.500 Cd
```

Stability order, top to bottom: <a>, <b>

<a>
Computed, not measured: an optimized crystal structure of Sr4Cd at the PBE level of DFT.

Summary:
- Density of states at the Fermi level: 1.264 states/eV per atom

Geometry as POSCAR:
```
Sr4Cd
1.0
-4.861 0.123 7.080
2.930 -3.995 7.291
0.882 6.544 5.702
Sr Cd
8 2
Direct
0.693 0.767 0.848 Sr
0.257 0.669 0.818 Sr
0.812 0.245 0.650 Sr
0.294 0.245 0.650 Sr
0.706 0.755 0.350 Sr
0.188 0.755 0.350 Sr
0.743 0.331 0.182 Sr
0.307 0.233 0.152 Sr
0.818 0.000 0.000 Cd
0.182 0.000 0.000 Cd
```

<b>
Computed, not measured: an optimized crystal structure of Sr4Cd at the PBE level of DFT.

Summary:
- Density of states at the Fermi level: 1.606 states/eV per atom

Geometry as POSCAR:
```
Sr4Cd
1.0
-3.979 0.945 4.971
-5.017 -1.556 -3.720
0.656 -6.174 1.699
Sr Cd
4 1
Direct
0.000 0.000 0.000 Sr
0.500 0.000 0.500 Sr
0.000 0.500 0.500 Sr
0.500 0.500 0.000 Sr
0.500 0.500 0.500 Cd
```

Stability order, top to bottom: <a>, <b>

<a>
Computed, not measured: an optimized crystal structure of SrTaCd at the PBE level of DFT.

Summary:
- Density of states at the Fermi level: 1.234 states/eV per atom

Geometry as POSCAR:
```
SrTaCd
1.0
6.537 -0.011 -0.001
4.404 4.831 0.001
-5.121 -3.202 2.500
Cd Sr Ta
1 1 1
Direct
0.030 0.030 0.000 Cd
0.337 0.337 0.000 Sr
0.633 0.633 0.000 Ta
```

<b>
Computed, not measured: an optimized crystal structure of SrTaCd at the PBE level of DFT.

Summary:
- Density of states at the Fermi level: 1.336 states/eV per atom

Geometry as POSCAR:
```
SrTaCd
1.0
-1.445 -2.850 -0.323
2.099 0.997 -2.217
6.150 -3.595 4.206
Cd Sr Ta
1 1 1
Direct
0.000 0.000 0.978 Cd
0.333 0.667 0.341 Sr
0.667 0.333 0.681 Ta
```

Stability order, top to bottom: <a>, <b>